# Ho2FeC2 | OQMD | PBE | optimized geometry
# * total DFT energy (no corrections): -7.479 eV per atom
# * volume: 15.30 A^3/atom
# * total magnetization: 0.7 μB/f.u.
data_Ho2FeC2
_space_group_name_H-M_alt 'C 1 2/m 1'
_space_group_IT_number 12
_cell_length_a 10.817
_cell_length_b 4.996
_cell_length_c 6.629
_cell_angle_alpha 90.00
_cell_angle_beta 121.36
_cell_angle_gamma 90.00
loop_
_space_group_symop_operation_xyz
'x,y,z'
'-x,-y,-z'
'-x,y,-z'
'x,-y,z'
'x+1/2,y+1/2,z'
'-x+1/2,-y+1/2,-z'
'-x+1/2,y+1/2,-z'
'x+1/2,-y+1/2,z'
loop_
_atom_site_label
_atom_site_fract_x
_atom_site_fract_y
_atom_site_fract_z
Ho1 0.041 0.000 0.283
Ho2 0.182 0.500 0.111
Fe1 0.129 0.500 0.631
C1 0.016 0.500 0.298
C2 0.183 0.000 0.107